[1]
Here is a geometry-optimized Sr2MgTcO6 structure from OQMD. Energies are from PBE-GGA.

Cell and atoms, written as CIF:
```
data_Sr2MgTcO6
_chemical_formula_sum 'Sr4 Mg2 Tc2 O12'
_cell_length_a 5.5626
_cell_length_b 5.5644
_cell_length_c 7.8737
_cell_angle_alpha 90.01
_cell_angle_beta 90.00
_cell_angle_gamma 90.02
_space_group_name_H-M_alt 'P 1'
_space_group_IT_number 1
loop_
_space_group_symop_operation_xyz
'x,y,z'
loop_
_atom_site_label
_atom_site_type_symbol
_atom_site_fract_x
_atom_site_fract_y
_atom_site_fract_z
Sr1 Sr 0.9998 0.9998 0.2499
Sr2 Sr 0.0002 0.0002 0.7501
Sr3 Sr 0.4999 0.4999 0.2500
Sr4 Sr 0.5001 0.5001 0.7500
Mg1 Mg 0.0000 0.5000 0.0000
Mg2 Mg 0.5000 0.0000 0.5000
Tc1 Tc 0.0000 0.5000 0.5000
Tc2 Tc 0.5000 0.0000 0.0000
O1 O 0.0009 0.5000 0.2560
O2 O 0.2393 0.2516 0.5003
O3 O 0.2493 0.7395 0.5008
O4 O 0.2531 0.7585 0.9992
O5 O 0.2584 0.2465 0.9996
O6 O 0.4988 0.9998 0.2440
O7 O 0.5012 0.0002 0.7560
O8 O 0.7416 0.7535 0.0004
O9 O 0.7469 0.2415 0.0008
O10 O 0.7507 0.2605 0.4992
O11 O 0.7607 0.7484 0.4997
O12 O 0.9991 0.5000 0.7440
```

[2]
Here is a geometry-optimized GdDyMg2Au4 structure from OQMD. Energies are from PBE-GGA.

Cell and atoms, written as CIF:
```
data_GdDyMg2Au4
_chemical_formula_sum 'Gd1 Dy1 Mg2 Au4'
_cell_length_a 4.8796
_cell_length_b 4.8796
_cell_length_c 6.9016
_cell_angle_alpha 90.00
_cell_angle_beta 90.00
_cell_angle_gamma 90.00
_space_group_name_H-M_alt 'P 1'
_space_group_IT_number 1
loop_
_space_group_symop_operation_xyz
'x,y,z'
loop_
_atom_site_label
_atom_site_type_symbol
_atom_site_fract_x
_atom_site_fract_y
_atom_site_fract_z
Gd1 Gd 0.0000 0.0000 0.0000
Dy1 Dy 0.5000 0.5000 0.5000
Mg1 Mg 0.0000 0.0000 0.5000
Mg2 Mg 0.5000 0.5000 0.0000
Au1 Au 0.0000 0.5000 0.2503
Au2 Au 0.0000 0.5000 0.7497
Au3 Au 0.5000 0.0000 0.2503
Au4 Au 0.5000 0.0000 0.7497
```

[3]
Here is a geometry-optimized Hf2Zr2Nb structure from OQMD. Energies are from PBE-GGA.

**Energy relative to the elements**: 578.7 meV/atom

Cell and atoms, written as CIF:
```
data_Hf2Zr2Nb
_chemical_formula_sum 'Hf2 Zr2 Nb1'
_cell_length_a 7.6600
_cell_length_b 7.6600
_cell_length_c 7.6600
_cell_angle_alpha 149.43
_cell_angle_beta 149.43
_cell_angle_gamma 43.77
_space_group_name_H-M_alt 'P 1'
_space_group_IT_number 1
loop_
_space_group_symop_operation_xyz
'x,y,z'
loop_
_atom_site_label
_atom_site_type_symbol
_atom_site_fract_x
_atom_site_fract_y
_atom_site_fract_z
Hf1 Hf 0.2500 0.7500 0.5000
Hf2 Hf 0.7500 0.2500 0.5000
Zr1 Zr 0.0918 0.0918 0.0000
Zr2 Zr 0.9082 0.9082 0.0000
Nb1 Nb 0.5000 0.5000 0.0000
```

[4]
Here is a geometry-optimized SrGaSnIrPd structure from OQMD. Energies are from PBE-GGA.

**Excess energy over the best structure of this formula in the dataset**: 5.3 kJ/mol of formula units

Cell and atoms, written as CIF:
```
data_SrGaSnIrPd
_chemical_formula_sum 'Sr2 Ga2 Sn2 Ir2 Pd2'
_cell_length_a 4.4820
_cell_length_b 4.4820
_cell_length_c 10.7022
_cell_angle_alpha 90.00
_cell_angle_beta 90.00
_cell_angle_gamma 90.00
_space_group_name_H-M_alt 'P 1'
_space_group_IT_number 1
loop_
_space_group_symop_operation_xyz
'x,y,z'
loop_
_atom_site_label
_atom_site_type_symbol
_atom_site_fract_x
_atom_site_fract_y
_atom_site_fract_z
Sr1 Sr 0.2500 0.2500 0.2265
Sr2 Sr 0.7500 0.7500 0.7735
Ga1 Ga 0.2500 0.2500 0.8903
Ga2 Ga 0.7500 0.7500 0.1097
Sn1 Sn 0.2500 0.7500 0.5000
Sn2 Sn 0.7500 0.2500 0.5000
Ir1 Ir 0.2500 0.7500 0.0000
Ir2 Ir 0.7500 0.2500 0.0000
Pd1 Pd 0.2500 0.2500 0.6481
Pd2 Pd 0.7500 0.7500 0.3519
```

[5]
Here is a geometry-optimized HoSbIr structure from OQMD. Energies are from PBE-GGA.

Cell and atoms, written as CIF:
```
data_HoSbIr
_chemical_formula_sum 'Ho4 Sb4 Ir4'
_cell_length_a 7.1426
_cell_length_b 4.4994
_cell_length_c 7.9179
_cell_angle_alpha 90.00
_cell_angle_beta 90.00
_cell_angle_gamma 90.00
_space_group_name_H-M_alt 'P 1'
_space_group_IT_number 1
loop_
_space_group_symop_operation_xyz
'x,y,z'
loop_
_atom_site_label
_atom_site_type_symbol
_atom_site_fract_x
_atom_site_fract_y
_atom_site_fract_z
Ho1 Ho 0.0110 0.2500 0.1917
Ho2 Ho 0.4890 0.7500 0.6917
Ho3 Ho 0.5110 0.2500 0.3083
Ho4 Ho 0.9890 0.7500 0.8083
Sb1 Sb 0.1775 0.2500 0.5882
Sb2 Sb 0.3225 0.7500 0.0882
Sb3 Sb 0.6775 0.2500 0.9118
Sb4 Sb 0.8225 0.7500 0.4118
Ir1 Ir 0.2104 0.7500 0.4111
Ir2 Ir 0.2896 0.2500 0.9111
Ir3 Ir 0.7104 0.7500 0.0889
Ir4 Ir 0.7896 0.2500 0.5889
```

[6]
Here is a geometry-optimized Y2Ge3W4N3 structure from OQMD. Energies are from PBE-GGA.

Cell and atoms, written as CIF:
```
data_Y2Ge3W4N3
_chemical_formula_sum 'Y4 Ge6 W8 N6'
_cell_length_a 5.5817
_cell_length_b 5.5817
_cell_length_c 13.7141
_cell_angle_alpha 104.90
_cell_angle_beta 104.90
_cell_angle_gamma 60.19
_space_group_name_H-M_alt 'P 1'
_space_group_IT_number 1
loop_
_space_group_symop_operation_xyz
'x,y,z'
loop_
_atom_site_label
_atom_site_type_symbol
_atom_site_fract_x
_atom_site_fract_y
_atom_site_fract_z
Y1 Y 0.0471 0.8787 0.6166
Y2 Y 0.1213 0.9529 0.8834
Y3 Y 0.8787 0.0471 0.1166
Y4 Y 0.9529 0.1213 0.3834
Ge1 Ge 0.0883 0.3966 0.7480
Ge2 Ge 0.3966 0.0883 0.2480
Ge3 Ge 0.4247 0.5753 0.2500
Ge4 Ge 0.5753 0.4247 0.7500
Ge5 Ge 0.6034 0.9117 0.7520
Ge6 Ge 0.9117 0.6034 0.2520
W1 W 0.2045 0.3826 0.0779
W2 W 0.3157 0.4450 0.4221
W3 W 0.3826 0.2045 0.5779
W4 W 0.4450 0.3157 0.9221
W5 W 0.5550 0.6843 0.0779
W6 W 0.6174 0.7955 0.4221
W7 W 0.6843 0.5550 0.5779
W8 W 0.7955 0.6174 0.9221
N1 N 0.0000 0.5000 0.5000
N2 N 0.1543 0.6902 0.9997
N3 N 0.3098 0.8457 0.5003
N4 N 0.5000 0.0000 0.0000
N5 N 0.6902 0.1543 0.4997
N6 N 0.8457 0.3098 0.0003
```

[7]
Here is a geometry-optimized AlFeCoOs structure from OQMD. Energies are from PBE-GGA.

**Excess energy over the best structure of this formula in the dataset**: 0.0 kJ/mol of formula units

Cell and atoms, written as CIF:
```
data_AlFeCoOs
_chemical_formula_sum 'Al1 Fe1 Co1 Os1'
_cell_length_a 4.1412
_cell_length_b 4.1412
_cell_length_c 4.1412
_cell_angle_alpha 60.00
_cell_angle_beta 60.00
_cell_angle_gamma 60.00
_space_group_name_H-M_alt 'P 1'
_space_group_IT_number 1
loop_
_space_group_symop_operation_xyz
'x,y,z'
loop_
_atom_site_label
_atom_site_type_symbol
_atom_site_fract_x
_atom_site_fract_y
_atom_site_fract_z
Al1 Al 0.0000 0.0000 0.0000
Fe1 Fe 0.5000 0.5000 0.5000
Co1 Co 0.2500 0.2500 0.2500
Os1 Os 0.7500 0.7500 0.7500
```

[8]
Here is a geometry-optimized HfInNiMo structure from OQMD. Energies are from PBE-GGA.

**Excess energy over the best structure of this formula in the dataset**: 0.0 kJ/mol of formula units

Cell and atoms, written as CIF:
```
data_HfInNiMo
_chemical_formula_sum 'Hf1 In1 Ni1 Mo1'
_cell_length_a 4.5989
_cell_length_b 4.5989
_cell_length_c 4.5989
_cell_angle_alpha 60.00
_cell_angle_beta 60.00
_cell_angle_gamma 60.00
_space_group_name_H-M_alt 'P 1'
_space_group_IT_number 1
loop_
_space_group_symop_operation_xyz
'x,y,z'
loop_
_atom_site_label
_atom_site_type_symbol
_atom_site_fract_x
_atom_site_fract_y
_atom_site_fract_z
Hf1 Hf 0.0000 0.0000 0.0000
In1 In 0.5000 0.5000 0.5000
Ni1 Ni 0.7500 0.7500 0.7500
Mo1 Mo 0.2500 0.2500 0.2500
```

[9]
Here is a geometry-optimized HoHfMg structure from OQMD. Energies are from PBE-GGA.

**Excess energy over the best structure of this formula in the dataset**: 0.0 kJ/mol of formula units

Cell and atoms, written as CIF:
```
data_HoHfMg
_chemical_formula_sum 'Ho1 Hf1 Mg1'
_cell_length_a 4.9294
_cell_length_b 4.9294
_cell_length_c 4.9294
_cell_angle_alpha 60.00
_cell_angle_beta 60.00
_cell_angle_gamma 60.00
_space_group_name_H-M_alt 'P 1'
_space_group_IT_number 1
loop_
_space_group_symop_operation_xyz
'x,y,z'
loop_
_atom_site_label
_atom_site_type_symbol
_atom_site_fract_x
_atom_site_fract_y
_atom_site_fract_z
Ho1 Ho 0.0000 0.0000 0.0000
Hf1 Hf 0.5000 0.5000 0.5000
Mg1 Mg 0.7500 0.7500 0.7500
```

[10]
Here is a geometry-optimized Dy3HoTe2C2 structure from OQMD. Energies are from PBE-GGA.

Cell and atoms, written as CIF:
```
data_Dy3HoTe2C2
_chemical_formula_sum 'Dy3 Ho1 Te2 C2'
_cell_length_a 3.8226
_cell_length_b 3.8226
_cell_length_c 14.0607
_cell_angle_alpha 90.00
_cell_angle_beta 90.00
_cell_angle_gamma 120.00
_space_group_name_H-M_alt 'P 1'
_space_group_IT_number 1
loop_
_space_group_symop_operation_xyz
'x,y,z'
loop_
_atom_site_label
_atom_site_type_symbol
_atom_site_fract_x
_atom_site_fract_y
_atom_site_fract_z
Dy1 Dy 0.0000 0.0000 0.0000
Dy2 Dy 0.0000 0.0000 0.3141
Dy3 Dy 0.3333 0.6667 0.5001
Ho1 Ho 0.3333 0.6667 0.8143
Te1 Te 0.0000 0.0000 0.6573
Te2 Te 0.3333 0.6667 0.1571
C1 C 0.6667 0.3333 0.4072
C2 C 0.6667 0.3333 0.9070
```

Quick rundown of calculated total energy, same order as above: -136.9 -31.6 -44.2 -51.6 -80.9 -215.1 -31.1 -28.7 -13.8 -50.1 eV/cell
Quick rundown of mass density, same order as above: 5.36 11.68 9.06 8.88 12.50 11.01 10.98 10.81 7.21 8.69 g cm⁻³